Entry 1:
# KSrRhO3 (PBE, optimized geometry)
# total moment = 8.084 μB/cell
# formation energy from raw total energies = -1.5812 eV per atom
# total energy = -5.75 eV per atom
data_KSrRhO3
_symmetry_space_group_name_H-M 'C 1 2/m 1'
_symmetry_Int_Tables_number 12
_cell_length_a 13.5145
_cell_length_b 3.9957
_cell_length_c 7.7521
_cell_angle_alpha 90.00
_cell_angle_beta 106.10
_cell_angle_gamma 90.00
loop_
_symmetry_equiv_pos_as_xyz
'x,y,z'
'-x,-y,-z'
'-x,y,-z'
'x,-y,z'
'x+1/2,y+1/2,z'
'-x+1/2,-y+1/2,-z'
'-x+1/2,y+1/2,-z'
'x+1/2,-y+1/2,z'
loop_
_atom_site_label
_atom_site_type_symbol
_atom_site_fract_x
_atom_site_fract_y
_atom_site_fract_z
_atom_site_occupancy
K1 K 0.1439 0.0000 0.0670 1
Sr1 Sr 0.1514 0.0000 0.5785 1
Rh1 Rh 0.0039 0.5000 0.2733 1
O1 O 0.0043 0.0000 0.2826 1
O2 O 0.1457 0.5000 0.7925 1
O3 O 0.1556 0.5000 0.3580 1



Entry 2:
# Ca9MgCu2 (PBE, optimized geometry)
# formation energy = 0.12 eV per atom
# total moment = 0.000 μB/cell
# total energy = -2.19 eV per atom
data_Ca9MgCu2
_symmetry_space_group_name_H-M 'C 1 2/m 1'
_symmetry_Int_Tables_number 12
_cell_length_a 9.1587
_cell_length_b 8.0005
_cell_length_c 11.9939
_cell_angle_alpha 90.00
_cell_angle_beta 104.41
_cell_angle_gamma 90.00
loop_
_symmetry_equiv_pos_as_xyz
'x,y,z'
'-x,-y,-z'
'-x,y,-z'
'x,-y,z'
'x+1/2,y+1/2,z'
'-x+1/2,-y+1/2,-z'
'-x+1/2,y+1/2,-z'
'x+1/2,-y+1/2,z'
loop_
_atom_site_label
_atom_site_type_symbol
_atom_site_fract_x
_atom_site_fract_y
_atom_site_fract_z
_atom_site_occupancy
Ca1 Ca 0.0000 0.0000 0.0000 1
Ca2 Ca 0.1346 0.0000 0.3604 1
Ca3 Ca 0.1412 0.2867 0.8492 1
Ca4 Ca 0.2103 0.5000 0.3193 1
Mg1 Mg 0.0000 0.5000 0.5000 1
Cu1 Cu 0.1334 0.5000 0.0592 1



Entry 3:
# NbZn2FeHg (PBE, optimized geometry)
# formation energy = 1.77 eV per atom
# total moment = 0.952 μB/cell
# total energy = -2.51 eV per atom
data_NbZn2FeHg
_symmetry_space_group_name_H-M 'P 4/m m m'
_symmetry_Int_Tables_number 123
_symmetry_space_group_name_Hall '-P 4 2'
_cell_length_a 4.9748
_cell_length_b 4.9748
_cell_length_c 5.2687
_cell_angle_alpha 90.00
_cell_angle_beta 90.00
_cell_angle_gamma 90.00
loop_
_atom_site_label
_atom_site_type_symbol
_atom_site_fract_x
_atom_site_fract_y
_atom_site_fract_z
_atom_site_occupancy
Nb1 Nb 0.0000 0.0000 0.0000 1
Zn1 Zn 0.0000 0.5000 0.0000 1
Fe1 Fe 0.5000 0.5000 0.5000 1
Hg1 Hg 0.0000 0.0000 0.5000 1



Entry 4:
# Nd8Te4As3Pb (PBE, optimized geometry)
# total moment = 0.000 μB/cell
# formation energy from raw total energies = -1.4023 eV per atom
# total energy = -5.68 eV per atom
data_Nd8Te4As3Pb
_symmetry_space_group_name_H-M 'R -3 m'
_symmetry_Int_Tables_number 166
_symmetry_space_group_name_Hall '-R 3 2"'
_cell_length_a 8.8101
_cell_length_b 8.8101
_cell_length_c 22.0070
_cell_angle_alpha 90.00
_cell_angle_beta 90.00
_cell_angle_gamma 120.00
loop_
_atom_site_label
_atom_site_type_symbol
_atom_site_fract_x
_atom_site_fract_y
_atom_site_fract_z
_atom_site_occupancy
Nd1 Nd 0.0000 0.0000 0.2401 1
Nd2 Nd 0.0098 0.5049 0.7571 1
Te1 Te 0.0000 0.0000 0.0000 1
Te2 Te 0.0000 0.5000 0.0000 1
As1 As 0.0000 0.5000 0.5000 1
Pb1 Pb 0.0000 0.0000 0.5000 1